(1)
! PBE Tm4AgTe, relaxed; values from VASP
&SYSTEM
  ibrav = 0, nat = 24, ntyp = 3
/
ATOMIC_SPECIES
Tm 168.93 Tm.upf
Ag 107.87 Ag.upf
Te 127.60 Te.upf
CELL_PARAMETERS angstrom
3.880 0.000 0.000
0.000 8.345 0.000
0.000 0.000 19.651
ATOMIC_POSITIONS crystal
Tm 0.250 0.521 0.717
Tm 0.750 0.843 0.657
Tm 0.250 0.520 0.428
Tm 0.250 0.657 0.157
Tm 0.750 0.879 0.439
Tm 0.750 0.980 0.928
Tm 0.750 0.479 0.283
Tm 0.750 0.480 0.572
Tm 0.750 0.979 0.217
Tm 0.250 0.020 0.072
Tm 0.250 0.157 0.343
Tm 0.750 0.343 0.843
Tm 0.250 0.121 0.561
Tm 0.250 0.621 0.939
Tm 0.750 0.379 0.061
Tm 0.250 0.021 0.783
Ag 0.750 0.750 0.050
Ag 0.750 0.250 0.450
Ag 0.250 0.750 0.550
Ag 0.250 0.250 0.950
Te 0.750 0.720 0.813
Te 0.250 0.780 0.313
Te 0.250 0.280 0.187
Te 0.750 0.220 0.687
! * calculated volume: 636.31 Å³/cell
! * distance to the lowest polymorph of the same formula: 0.0000 eV per atom
! * spin magnetization: 0.0 Bohr magnetons per cell
! * crystal system: orthorhombic
! * energy relative to the elements, uncorrected: -499 meV/atom


(2)
! PBE TmAgTe2, relaxed; values from VASP
&SYSTEM
  ibrav = 0, nat = 4, ntyp = 3
/
ATOMIC_SPECIES
Te 127.60 Te.upf
Tm 168.93 Tm.upf
Ag 107.87 Ag.upf
CELL_PARAMETERS angstrom
4.363 0.000 0.000
2.181 3.778 0.000
2.181 1.259 7.018
ATOMIC_POSITIONS crystal
Te 0.250 0.250 0.250
Te 0.750 0.750 0.750
Tm 0.500 0.500 0.500
Ag 0.000 0.000 0.000
! * calculated volume: 115.68 Å³/cell
! * spin magnetization: 0.0 Bohr magnetons per cell
! * crystal system: trigonal
! * energy relative to the elements, uncorrected: -809 meV/atom


(3)
! PBE Tm4AgTe, relaxed; values from VASP
&SYSTEM
  ibrav = 0, nat = 12, ntyp = 3
/
ATOMIC_SPECIES
Tm 168.93 Tm.upf
Ag 107.87 Ag.upf
Te 127.60 Te.upf
CELL_PARAMETERS angstrom
5.834 0.208 0.000
-2.573 7.367 0.000
0.000 0.000 8.242
ATOMIC_POSITIONS crystal
Tm 0.010 0.737 0.051
Tm 0.573 0.986 0.250
Tm 0.010 0.737 0.449
Tm 0.427 0.014 0.750
Tm 0.990 0.263 0.949
Tm 0.990 0.263 0.551
Tm 0.593 0.483 0.750
Tm 0.407 0.517 0.250
Ag 0.835 0.406 0.250
Ag 0.165 0.594 0.750
Te 0.881 0.915 0.750
Te 0.119 0.085 0.250
! * calculated volume: 358.62 Å³/cell
! * distance to the lowest polymorph of the same formula: 0.2424 eV per atom
! * spin magnetization: 0.0 Bohr magnetons per cell
! * crystal system: monoclinic
! * energy relative to the elements, uncorrected: -257 meV/atom


(4)
! PBE Tm6AgTe3, relaxed; values from VASP
&SYSTEM
  ibrav = 0, nat = 20, ntyp = 3
/
ATOMIC_SPECIES
Ag 107.87 Ag.upf
Te 127.60 Te.upf
Tm 168.93 Tm.upf
CELL_PARAMETERS angstrom
3.995 0.000 0.000
0.000 10.478 -3.565
0.000 0.780 13.105
ATOMIC_POSITIONS crystal
Ag 0.750 0.038 0.702
Ag 0.250 0.962 0.298
Te 0.750 0.148 0.065
Te 0.750 0.668 0.524
Te 0.250 0.852 0.935
Te 0.250 0.332 0.476
Te 0.750 0.345 0.861
Te 0.250 0.655 0.139
Tm 0.750 0.432 0.116
Tm 0.750 0.886 0.110
Tm 0.250 0.114 0.890
Tm 0.250 0.896 0.549
Tm 0.250 0.209 0.240
Tm 0.750 0.473 0.653
Tm 0.750 0.104 0.451
Tm 0.250 0.568 0.884
Tm 0.250 0.527 0.347
Tm 0.750 0.773 0.330
Tm 0.750 0.791 0.760
Tm 0.250 0.227 0.670
! * calculated volume: 559.76 Å³/cell
! * spin magnetization: 0.3 Bohr magnetons per cell
! * crystal system: monoclinic
! * energy relative to the elements, uncorrected: -704 meV/atom


(5)
! PBE Tm2AgTe, relaxed; values from VASP
&SYSTEM
  ibrav = 0, nat = 4, ntyp = 3
/
ATOMIC_SPECIES
Ag 107.87 Ag.upf
Tm 168.93 Tm.upf
Te 127.60 Te.upf
CELL_PARAMETERS angstrom
3.799 0.000 0.000
0.000 3.799 0.000
0.000 0.000 6.873
ATOMIC_POSITIONS crystal
Ag 0.500 0.500 0.000
Tm 0.000 0.000 0.757
Tm 0.000 0.000 0.243
Te 0.500 0.500 0.500
! * calculated volume: 99.20 Å³/cell
! * distance to the lowest polymorph of the same formula: 0.1455 eV per atom
! * spin magnetization: 0.8 Bohr magnetons per cell
! * crystal system: tetragonal
! * energy relative to the elements, uncorrected: -610 meV/atom


(6)
! PBE TmAg3Te3, relaxed; values from VASP
&SYSTEM
  ibrav = 0, nat = 14, ntyp = 3
/
ATOMIC_SPECIES
Te 127.60 Te.upf
Ag 107.87 Ag.upf
Tm 168.93 Tm.upf
CELL_PARAMETERS angstrom
6.975 0.000 3.551
2.584 6.479 3.551
0.006 0.004 8.614
ATOMIC_POSITIONS crystal
Te 0.073 0.747 0.783
Te 0.927 0.253 0.217
Te 0.253 0.603 0.217
Te 0.603 0.927 0.217
Te 0.397 0.073 0.783
Te 0.747 0.397 0.783
Ag 0.778 0.124 0.610
Ag 0.513 0.222 0.390
Ag 0.222 0.876 0.390
Ag 0.124 0.487 0.610
Ag 0.876 0.513 0.390
Ag 0.487 0.778 0.610
Tm 0.332 0.332 0.004
Tm 0.668 0.668 0.996
! * calculated volume: 389.10 Å³/cell
! * spin magnetization: 0.0 Bohr magnetons per cell
! * crystal system: trigonal
! * energy relative to the elements, uncorrected: -523 meV/atom


(7)
! PBE TmAg2Te3, relaxed; values from VASP
&SYSTEM
  ibrav = 0, nat = 12, ntyp = 3
/
ATOMIC_SPECIES
Te 127.60 Te.upf
Ag 107.87 Ag.upf
Tm 168.93 Tm.upf
CELL_PARAMETERS angstrom
-3.310 2.171 1.562
-4.264 -6.459 -0.058
5.456 -2.631 9.421
ATOMIC_POSITIONS crystal
Te 0.911 0.172 0.823
Te 0.580 0.374 0.161
Te 0.754 0.791 0.509
Te 0.420 0.626 0.839
Te 0.246 0.209 0.491
Te 0.089 0.828 0.177
Ag 0.042 0.160 0.083
Ag 0.706 0.442 0.412
Ag 0.294 0.558 0.588
Ag 0.958 0.840 0.917
Tm 0.651 0.050 0.303
Tm 0.349 0.950 0.697
! * calculated volume: 361.02 Å³/cell
! * distance to the lowest polymorph of the same formula: 0.0000 eV per atom
! * spin magnetization: 0.0 Bohr magnetons per cell
! * crystal system: monoclinic
! * energy relative to the elements, uncorrected: -567 meV/atom


(8)
! PBE Tm3AgTe, relaxed; values from VASP
&SYSTEM
  ibrav = 0, nat = 10, ntyp = 3
/
ATOMIC_SPECIES
Tm 168.93 Tm.upf
Ag 107.87 Ag.upf
Te 127.60 Te.upf
CELL_PARAMETERS angstrom
-1.327 0.279 -3.698
10.827 -2.193 -1.953
-2.100 -5.850 0.313
ATOMIC_POSITIONS crystal
Tm 0.997 0.995 0.243
Tm 0.003 0.005 0.757
Tm 0.378 0.755 0.934
Tm 0.622 0.245 0.066
Tm 0.196 0.391 0.612
Tm 0.804 0.609 0.388
Ag 0.775 0.550 0.869
Ag 0.225 0.450 0.131
Te 0.586 0.172 0.540
Te 0.414 0.828 0.460
! * calculated volume: 267.56 Å³/cell
! * spin magnetization: 0.0 Bohr magnetons per cell
! * crystal system: monoclinic
! * energy relative to the elements, uncorrected: -551 meV/atom


(9)
! PBE Tm4AgTe2, relaxed; values from VASP
&SYSTEM
  ibrav = 0, nat = 14, ntyp = 3
/
ATOMIC_SPECIES
Tm 168.93 Tm.upf
Te 127.60 Te.upf
Ag 107.87 Ag.upf
CELL_PARAMETERS angstrom
-3.125 0.952 7.438
0.113 -7.899 -1.895
7.490 2.944 -0.184
ATOMIC_POSITIONS crystal
Tm 0.949 0.646 0.703
Tm 0.754 0.057 0.703
Tm 0.496 0.693 0.797
Tm 0.354 0.051 0.297
Tm 0.896 0.699 0.203
Tm 0.943 0.246 0.297
Tm 0.307 0.504 0.203
Tm 0.301 0.104 0.797
Te 0.625 0.875 0.250
Te 0.625 0.375 0.250
Te 0.125 0.375 0.750
Te 0.625 0.375 0.750
Ag 0.000 0.000 0.000
Ag 0.250 0.750 0.500
! * calculated volume: 407.08 Å³/cell
! * spin magnetization: 0.0 Bohr magnetons per cell
! * crystal system: monoclinic
! * energy relative to the elements, uncorrected: -643 meV/atom


(10)
! PBE TmAgTe2, relaxed; values from VASP
&SYSTEM
  ibrav = 0, nat = 4, ntyp = 3
/
ATOMIC_SPECIES
Te 127.60 Te.upf
Tm 168.93 Tm.upf
Ag 107.87 Ag.upf
CELL_PARAMETERS angstrom
4.449 0.000 0.000
-2.224 3.853 0.000
0.000 0.000 7.390
ATOMIC_POSITIONS crystal
Te 0.000 0.000 0.765
Te 0.667 0.333 0.223
Tm 0.333 0.667 0.982
Ag 0.000 0.000 0.391
! * calculated volume: 126.66 Å³/cell
! * spin magnetization: 0.0 Bohr magnetons per cell
! * crystal system: trigonal
! * energy relative to the elements, uncorrected: -865 meV/atom


(11)
! PBE Tm2AgTe, relaxed; values from VASP
&SYSTEM
  ibrav = 0, nat = 4, ntyp = 3
/
ATOMIC_SPECIES
Te 127.60 Te.upf
Tm 168.93 Tm.upf
Ag 107.87 Ag.upf
CELL_PARAMETERS angstrom
4.117 0.000 0.000
2.058 3.565 0.000
2.058 1.188 7.481
ATOMIC_POSITIONS crystal
Te 0.499 0.499 0.503
Tm 0.077 0.077 0.770
Tm 0.257 0.257 0.229
Ag 0.667 0.667 0.998
! * calculated volume: 109.79 Å³/cell
! * distance to the lowest polymorph of the same formula: 0.1124 eV per atom
! * spin magnetization: 0.0 Bohr magnetons per cell
! * crystal system: trigonal
! * energy relative to the elements, uncorrected: -643 meV/atom


(12)
! PBE TmAg2Te3, relaxed; values from VASP
&SYSTEM
  ibrav = 0, nat = 12, ntyp = 3
/
ATOMIC_SPECIES
Ag 107.87 Ag.upf
Te 127.60 Te.upf
Tm 168.93 Tm.upf
CELL_PARAMETERS angstrom
-0.231 3.301 2.599
-6.914 -1.312 1.051
7.590 -6.496 8.924
ATOMIC_POSITIONS crystal
Ag 0.750 0.092 0.448
Ag 0.750 0.595 0.084
Ag 0.250 0.908 0.552
Ag 0.250 0.405 0.916
Te 0.750 0.636 0.878
Te 0.250 0.990 0.775
Te 0.750 0.010 0.225
Te 0.250 0.364 0.122
Te 0.750 0.660 0.430
Te 0.250 0.340 0.570
Tm 0.250 0.775 0.292
Tm 0.750 0.225 0.708
! * calculated volume: 373.76 Å³/cell
! * distance to the lowest polymorph of the same formula: 0.0241 eV per atom
! * spin magnetization: 0.0 Bohr magnetons per cell
! * crystal system: monoclinic
! * energy relative to the elements, uncorrected: -543 meV/atom


What is the formula in the twelfth record?
TmAg2Te3


The lowest calculated volume belongs to which entry?
number 5